Density functional theory data (PBE) for a relaxed structure of CrReOs.

Cell lengths 3.001, 4.400, 12.713 Å; angles 90.00, 90.00, 90.00 degrees
Sites, in units of the cell vectors:
Cr: 0.000 0.000 0.000
Cr: 0.000 0.500 0.500
Cr: 0.500 0.000 0.500
Cr: 0.500 0.500 0.000
Re: 0.000 0.000 0.340
Re: 0.000 0.500 0.840
Re: 0.500 0.000 0.840
Re: 0.500 0.500 0.340
Os: 0.000 0.000 0.660
Os: 0.000 0.500 0.160
Os: 0.500 0.000 0.160
Os: 0.500 0.500 0.660

Calculated values
**E_form**: 98 kJ/mol of formula units
**DOS at the Fermi energy**: 3.41 states/eV/f.u.
**Offset from the most stable computed form**: 264 meV/atom
**Size of the total moment**: 0.00 μB per cell
**Space group**: Fmm2, No. 42